Record 1
Computed, not measured: a relaxed Tb2LuZn crystal at the PBE level of DFT.

Values from the calculation:
- Offset from the most stable computed form: 0.0 kJ per mole of atoms
- Theoretical density: 8.595 g/cm³

Cell: 3.5608 3.5608 8.5057 Å, 90.00 90.00 90.00°
Closest atoms and distances in Å follow each position.
Fractional coordinates of all 4 atoms:
Tb  0.0000  0.0000  0.2104  4 Zn 3.09
Tb  0.0000  0.0000  0.7896  4 Zn 3.09
Lu  0.5000  0.5000  0.5000  8 Tb 3.52, 4 Lu 3.56
Zn  0.5000  0.5000  0.0000  8 Tb 3.09

Record 2
Computed, not measured: a relaxed TbLu2Zn crystal at the PBE level of DFT.

Values from the calculation:
- Offset from the most stable computed form: 0.0 kJ per mole of atoms
- Theoretical density: 9.119 g/cm³

Cell: 3.4977 3.4977 8.5481 Å, 90.00 90.00 90.00°
Closest atoms and distances in Å follow each position.
Fractional coordinates of all 4 atoms:
Tb  0.0000  0.0000  0.0000  4 Tb 3.50, 8 Lu 3.54
Lu  0.5000  0.5000  0.2962  4 Zn 3.03
Lu  0.5000  0.5000  0.7038  4 Zn 3.03
Zn  0.0000  0.0000  0.5000  8 Lu 3.03

Record 3
Computed, not measured: a relaxed TbLuZr crystal at the PBE level of DFT.

Values from the calculation:
- Theoretical density: 8.476 g/cm³
- Electronic total energy: -5.83 eV per atom

Cell: 3.3825 3.3825 14.5595 Å, 90.00 90.00 90.00°
Closest atoms and distances in Å follow each position.
Fractional coordinates of all 6 atoms:
Tb  0.0000  0.0000  0.0000  4 Zr 3.34, 4 Tb 3.38, 4 Lu 3.62
Tb  0.5000  0.5000  0.5000  4 Zr 3.34, 4 Tb 3.38, 4 Lu 3.62
Lu  0.0000  0.0000  0.6868  4 Zr 3.27, 4 Lu 3.38, 4 Tb 3.62
Lu  0.5000  0.5000  0.1868  4 Zr 3.27, 4 Lu 3.38, 4 Tb 3.62
Zr  0.0000  0.0000  0.3400  4 Lu 3.27, 4 Tb 3.34, 4 Zr 3.38
Zr  0.5000  0.5000  0.8400  4 Lu 3.27, 4 Tb 3.34, 4 Zr 3.38

Table of density of states at the Fermi level (states/eV per cell), in record order: 3.935, 3.761, 8.662